Sr2Hg after structural relaxation, computed with GGA-PBE.

Cell and atoms, written as extended XYZ:
```
9
Lattice="8.957 0.000 0.000 -4.479 7.757 0.000 0.000 0.000 5.098" Properties=species:S:1:pos:R:3 pbc="T T T"
Sr 5.325 0.000 2.549
Sr -2.663 4.612 2.549
Sr 1.816 3.145 2.549
Sr 3.329 5.767 0.000
Sr -1.149 1.990 0.000
Sr 2.298 0.000 0.000
Hg 0.000 0.000 2.549
Hg 4.479 2.586 0.000
Hg 0.000 5.171 0.000
```

Values from the calculation:
energy relative to the elements: -0.356 eV per atom
crystal system: hexagonal


SrCaBi6 after structural relaxation, computed with GGA-PBE.

Cell and atoms, written as extended XYZ:
```
8
Lattice="5.044 0.000 0.000 0.000 5.044 0.000 0.000 0.000 10.057" Properties=species:S:1:pos:R:3 pbc="T T T"
Sr 0.000 0.000 0.000
Bi 2.522 0.000 7.485
Bi 0.000 2.522 7.485
Bi 0.000 2.522 2.572
Bi 2.522 2.522 0.000
Bi 2.522 2.522 5.028
Bi 2.522 0.000 2.572
Ca 0.000 0.000 5.028
```

Values from the calculation:
energy relative to the elements: -0.413 eV per atom
crystal system: tetragonal


AgW2Au after structural relaxation, computed with GGA-PBE.

Cell and atoms, written as extended XYZ:
```
4
Lattice="4.454 0.000 0.000 0.000 2.706 0.375 0.000 1.950 5.784" Properties=species:S:1:pos:R:3 pbc="T T T"
W 0.000 2.330 3.069
W 0.000 2.704 0.385
Au 2.227 3.492 4.619
Ag 2.227 1.164 1.540
```

Values from the calculation:
energy relative to the elements: 0.585 eV per atom
crystal system: monoclinic
energy above the most stable polymorph in this dataset: 1.18 eV per formula unit


NaCa2BiS after structural relaxation, computed with GGA-PBE.

Cell and atoms, written as extended XYZ:
```
5
Lattice="-5.029 0.539 -1.856 -1.925 -0.946 4.942 0.159 4.978 1.015" Properties=species:S:1:pos:R:3 pbc="T T T"
Bi -3.398 2.286 2.050
Ca -2.514 0.270 -0.928
Ca -0.963 -0.473 2.471
S 0.000 0.000 0.000
Na 0.080 2.489 0.508
```

Values from the calculation:
ΔE_f (raw): -1.132 eV per atom
crystal system: tetragonal


Cd2CoRe after structural relaxation, computed with GGA-PBE.

Cell and atoms, written as extended XYZ:
```
4
Lattice="-3.021 -1.690 -4.292 2.390 -2.669 -4.191 -1.289 0.244 5.355" Properties=species:S:1:pos:R:3 pbc="T T T"
Co 0.393 -2.303 -1.538
Cd -0.304 -2.097 -4.081
Cd -0.012 -0.082 -0.160
Re -2.312 -1.813 -1.589
```

Values from the calculation:
energy relative to the elements: 0.620 eV per atom
crystal system: orthorhombic
energy above the most stable polymorph in this dataset: 1.58 eV per formula unit


Nb5PdC after structural relaxation, computed with GGA-PBE.

Cell and atoms, written as extended XYZ:
```
14
Lattice="-1.744 5.195 1.203 -5.527 0.942 0.186 -2.894 0.499 8.676" Properties=species:S:1:pos:R:3 pbc="T T T"
Nb -2.114 3.045 1.116
Nb -5.413 5.683 2.271
Nb -4.752 0.952 7.794
Nb -5.227 4.889 4.981
Nb -8.217 4.406 6.244
Nb -4.938 1.746 5.084
Nb -2.521 5.259 3.358
Nb -7.644 1.377 6.708
Nb -8.051 3.591 8.949
Nb -1.947 2.229 3.821
Pd -5.777 3.475 7.209
Pd -4.388 3.161 2.856
C 0.000 0.000 0.000
C -1.447 0.249 4.338
```

Values from the calculation:
energy relative to the elements: -0.082 eV per atom
crystal system: monoclinic


TlBIN2 after structural relaxation, computed with GGA-PBE.

Cell and atoms, written as extended XYZ:
```
5
Lattice="4.158 0.000 0.000 0.000 4.158 0.000 0.000 0.000 4.892" Properties=species:S:1:pos:R:3 pbc="T T T"
N 0.000 2.079 0.000
N 2.079 0.000 0.000
I 0.000 0.000 2.446
B 0.000 0.000 0.000
Tl 2.079 2.079 2.446
```

Values from the calculation:
ΔE_f (raw): 1.963 eV per atom
crystal system: tetragonal
energy above the most stable polymorph in this dataset: 0.00 eV per formula unit


SmZn11Co after structural relaxation, computed with GGA-PBE.

Cell and atoms, written as extended XYZ:
```
13
Lattice="4.637 0.005 1.932 2.276 6.342 0.948 -0.116 0.003 6.810" Properties=species:S:1:pos:R:3 pbc="T T T"
Zn 2.752 1.423 6.532
Zn -0.058 0.001 3.405
Zn 4.974 4.930 7.458
Zn 4.044 4.928 3.158
Zn 3.088 4.057 5.797
Zn 1.823 1.420 2.232
Zn 1.537 4.055 2.988
Zn 2.260 0.004 4.371
Zn 1.138 3.171 0.474
Zn 3.708 2.293 3.893
Zn 5.259 2.296 6.702
Sm 0.000 0.000 0.000
Co 3.456 3.174 1.440
```

Values from the calculation:
energy relative to the elements: -0.180 eV per atom
crystal system: monoclinic


Pm2ErCo2 after structural relaxation, computed with GGA-PBE.

Cell and atoms, written as extended XYZ:
```
10
Lattice="-2.897 -2.552 -0.285 1.273 -4.852 4.207 -5.894 2.958 7.128" Properties=species:S:1:pos:R:3 pbc="T T T"
Pm -1.087 -1.872 1.510
Pm -2.549 -3.503 4.680
Pm -6.432 -2.575 9.540
Pm -4.970 -0.944 6.370
Er -3.197 -3.181 8.377
Er -4.322 -1.266 2.672
Co 0.468 -3.967 4.462
Co -7.986 -0.480 6.588
Co -2.581 -0.524 4.628
Co -4.937 -3.923 6.422
```

Values from the calculation:
energy relative to the elements: -0.091 eV per atom
crystal system: monoclinic
energy above the most stable polymorph in this dataset: 0.00 eV per formula unit


Looking at volume for the records above, in order, we have 354; 256; 66; 148; 65; 232; 85; 202; 230 Å³ per cell.